(P)
Below is an optimized crystal structure of AcZnAu2, with properties calculated at the PBE level.

Computed properties:
Total moment, μB per formula unit: 0.0

Cell: 4.8390 4.8390 4.2405 Å, 90.00 90.00 90.00°
Closest atoms and distances in Å follow each position.
Space group P4/mmm (No. 123)
Asymmetric unit:
Ac: 0.0000 0.0000 0.0000 [1 per cell]  8 Au 3.22, 4 Zn 3.42
Zn: 0.5000 0.5000 0.0000 [1 per cell]  8 Au 3.22, 4 Ac 3.42
Au: 0.0000 0.5000 0.5000 [2 per cell]  4 Ac 3.22, 4 Zn 3.22, 4 Au 3.42

***

(Q)
Below is an optimized crystal structure of AcZnAu2, with properties calculated at the PBE level.

Computed properties:
Total moment, μB per formula unit: 0.0

Cell: 4.6480 4.6480 15.5355 Å, 90.00 90.00 120.00°
Closest atoms and distances in Å follow each position.
Space group R-3m (No. 166, hexagonal axes)
Asymmetric unit:
Ac: 0.0000 0.0000 0.0000 [3 per cell]  8 Au 3.27-3.31
Zn: 0.0000 0.0000 0.5000 [3 per cell]  6 Au 2.78
Au: 0.0000 0.0000 0.2133 [6 per cell]  3 Zn 2.78, 3 Au 3.05

***

Short version: (Q) is the most stable of them.